Material: La2ReCl
Method: DFT, GGA-PBE
State: optimized geometry

Calculated values
The formation energy without anion corrections comes out at -1.111 eV/f.u. Its energy relative to the lowest polymorph listed for this composition is 0.3542 eV/atom. The value obtained for the final energy is -0.23207 hartree per atom.

abc: 8.0234 8.0234 8.0234
angles: 132.03 132.03 70.18
Fractional positions:
1 La 0.0701 0.6250 0.9451
2 La 0.3750 0.3201 0.4451
3 La 0.6799 0.1250 0.0549
4 La 0.8750 0.9299 0.5549
5 Re 0.0000 0.0000 0.0000
6 Re 0.7500 0.2500 0.5000
7 Cl 0.2500 0.7500 0.5000
8 Cl 0.5000 0.5000 0.0000